First-principles (PBE) data for a geometry-optimized Th2Te2Se structure, as listed in Alexandria.

## Properties
Space group: C2/c
Uncorrected formation energy: -1238 meV/atom
Total moment: 0.0 μB/f.u.

a = 8.028 Å, b = 8.028 Å, c = 6.356 Å
α = 113.26°, β = 113.26°, γ = 62.22°
Atoms (fractional coordinates):
1 Th 0.138 0.650 0.894
2 Th 0.350 0.862 0.606
3 Th 0.650 0.138 0.394
4 Th 0.862 0.350 0.106
5 Te 0.003 0.291 0.647
6 Te 0.291 0.003 0.147
7 Te 0.709 0.997 0.853
8 Te 0.997 0.709 0.353
9 Se 0.500 0.500 0.250
10 Se 0.500 0.500 0.750